VASP calculation (PBE) on an optimized crystal structure of Sr2TlSi.

Cell: 3.8584 3.8584 9.1122 Å, 90.00 90.00 90.00°
Sites, in units of the cell vectors:
Tl 0.0000 0.0000 0.5554
Sr 0.0000 0.0000 0.9266
Sr 0.5000 0.5000 0.3148
Si 0.5000 0.5000 0.7033

Computed properties:
* size of the total moment: 0.00 μB per cell
* crystal system: tetragonal
* formation energy from raw total energies: -27 meV per atom
* E_tot: -2.82 eV/atom
* D(E_F): 0.712 states/eV per atom